# 1
The following is a DFT calculation (GGA-PBEsol) of crystalline BeHg3Ge at its relaxed geometry.

Crystal system: cubic
Energy of formation (eV per formula unit): 2.0
SG: Pm-3m, No. 221

Unit cell a=4.6984 b=4.6984 c=4.6984 alpha=90.00 beta=90.00 gamma=90.00
Element x y z (fractional)
1 Be 0.0000 0.0000 0.0000
2 Hg 0.0000 0.0000 0.5000
3 Hg 0.0000 0.5000 0.0000
4 Hg 0.5000 0.0000 0.0000
5 Ge 0.5000 0.5000 0.5000

# 2
The following is a DFT calculation (GGA-PBEsol) of crystalline Sb4TeBr at its relaxed geometry.

Calculated total energy (eV per atom): -3.708
Crystal system: cubic
SG: F-43m, No. 216

Unit cell a=6.1452 b=6.1452 c=6.1452 alpha=60.00 beta=60.00 gamma=60.00
Element x y z (fractional)
1 Sb 0.1230 0.1230 0.1230
2 Sb 0.1230 0.1230 0.6311
3 Sb 0.1230 0.6311 0.1230
4 Sb 0.6311 0.1230 0.1230
5 Te 0.5000 0.5000 0.5000
6 Br 0.7500 0.7500 0.7500

# 3
The following is a DFT calculation (GGA-PBEsol) of crystalline BaLiMg2 at its relaxed geometry.

Energy above the lowest structure with this stoichiometry (eV/atom): 0.0000
Crystal system: tetragonal
Energy of formation (eV per formula unit): 0.0
SG: P4/mmm, No. 123

Unit cell a=3.6788 b=3.6788 c=8.4858 alpha=90.00 beta=90.00 gamma=90.00
Element x y z (fractional)
1 Ba 0.0000 0.0000 0.0000
2 Li 0.0000 0.0000 0.5000
3 Mg 0.5000 0.5000 0.3146
4 Mg 0.5000 0.5000 0.6854

# 4
The following is a DFT calculation (GGA-PBEsol) of crystalline BaNiIr2 at its relaxed geometry.

Crystal system: trigonal
Energy of formation (eV per formula unit): -0.2
SG: R3m, No. 160

Unit cell a=6.0429 b=6.0429 c=6.0429 alpha=41.80 beta=41.80 gamma=41.80
Element x y z (fractional)
1 Ba 0.0000 0.0000 0.0000
2 Ni 0.8225 0.8225 0.8225
3 Ir 0.1827 0.1827 0.1827
4 Ir 0.5010 0.5010 0.5010

| no. | spin magnetization (μB/f.u.) |
| --- | --- |
| 1 | 0.00 |
| 2 | 0.00 |
| 3 | 0.00 |
| 4 | 0.00 |